Record 1
Below is a PBEsol-optimized structure of ZrRe2Hg, with properties calculated at the SCAN level.

Output
E ... -240.55 eV per cell
Energy relative to the elements ... 127 meV per atom
Symmetry ... Pmm2 (25)
DOS(E_F) ... 0.490 states/eV per atom

Cell lengths 2.929, 4.003, 5.857 Å; angles 90.00, 90.00, 90.00 degrees
Fractional coordinates of all 4 atoms:
Re1 0.500 0.500 0.225
Re2 0.000 0.000 0.037
Zr1 0.000 0.000 0.484
Hg1 0.500 0.500 0.754

Record 2
Below is a PBEsol-optimized structure of TaRu2, with properties calculated at the SCAN level.

Output
E ... -136.44 eV per cell
Energy relative to the elements ... -67 meV per atom
Symmetry ... Immm (71)
DOS(E_F) ... 1.201 states/eV per atom

Cell lengths 2.798, 3.764, 4.822 Å; angles 112.97, 106.86, 90.00 degrees
Fractional coordinates of all 3 atoms:
Ru1 0.326 0.326 0.651
Ru2 0.674 0.674 0.349
Ta1 0.000 0.000 0.000

Record 3
Below is a PBEsol-optimized structure of Mg2SbTe, with properties calculated at the SCAN level.

Output
E ... -85.35 eV per cell
Raw formation energy ... -0.2226 eV/atom
Symmetry ... P4/mmm (123)
DOS(E_F) ... 0.425 states/eV per atom

Cell lengths 3.201, 5.498, 5.498 Å; angles 90.00, 90.00, 90.00 degrees
Fractional coordinates of all 4 atoms:
Mg1 0.000 0.500 0.000
Mg2 0.000 0.000 0.500
Sb1 0.500 0.500 0.500
Te1 0.500 0.000 0.000

Record 4
Below is a PBEsol-optimized structure of InPb2Au, with properties calculated at the SCAN level.

Output
E ... -254.13 eV per cell
Energy relative to the elements ... -6 meV per atom
Symmetry ... Cm (8)
DOS(E_F) ... 0.393 states/eV per atom

Cell lengths 3.573, 5.216, 6.269 Å; angles 114.57, 106.56, 90.00 degrees
Fractional coordinates of all 4 atoms:
Au1 0.492 0.490 0.983
Pb1 0.004 0.003 0.008
Pb2 0.217 0.718 0.434
In1 0.787 0.289 0.575

Record 5
Below is a PBEsol-optimized structure of SrCu2Hg, with properties calculated at the SCAN level.

Output
E ... -120.58 eV per cell
Energy relative to the elements ... 65 meV per atom
Symmetry ... Fm-3m (225)
DOS(E_F) ... 0.354 states/eV per atom

Cell lengths 4.804, 4.804, 4.804 Å; angles 60.00, 60.00, 60.00 degrees
Fractional coordinates of all 4 atoms:
Sr1 0.000 0.000 0.000
Cu1 0.750 0.750 0.750
Cu2 0.250 0.250 0.250
Hg1 0.500 0.500 0.500

Record 6
Below is a PBEsol-optimized structure of GaFe2TeS, with properties calculated at the SCAN level.

Output
E ... -94.02 eV per cell
Raw formation energy ... 1.0938 eV/atom
Symmetry ... P4/mmm (123)
DOS(E_F) ... 0.980 states/eV per atom

Cell lengths 4.550, 4.550, 5.133 Å; angles 90.00, 90.00, 90.00 degrees
Each line ends with the local moment (μB).
Fractional coordinates of all 5 atoms:
Te1 0.000 0.000 0.500  0.01
Fe1 0.000 0.500 0.000  3.31
Fe2 0.500 0.000 0.000  3.31
Ga1 0.000 0.000 0.000  -0.06
S1 0.500 0.500 0.500  0.16

Record 7
Below is a PBEsol-optimized structure of Mo3Pb, with properties calculated at the SCAN level.

Output
E ... -178.02 eV per cell
Energy relative to the elements ... 604 meV per atom
Symmetry ... Fm-3m (225)
DOS(E_F) ... 0.711 states/eV per atom

Cell lengths 4.570, 4.570, 4.570 Å; angles 60.00, 60.00, 60.00 degrees
Fractional coordinates of all 4 atoms:
Pb1 0.500 0.500 0.500
Mo1 0.750 0.750 0.750
Mo2 0.000 0.000 0.000
Mo3 0.250 0.250 0.250

Record 8
Below is a PBEsol-optimized structure of Ca2IrPb, with properties calculated at the SCAN level.

Output
E ... -167.56 eV per cell
Energy relative to the elements ... -339 meV per atom
Symmetry ... P4/mmm (123)
DOS(E_F) ... 0.585 states/eV per atom

Cell lengths 3.922, 4.813, 4.813 Å; angles 90.00, 90.00, 90.00 degrees
Fractional coordinates of all 4 atoms:
Ca1 0.000 0.500 0.000
Ca2 0.000 0.000 0.500
Ir1 0.500 0.500 0.500
Pb1 0.500 0.000 0.000